PtSeOF2 | PBE | relaxed Values from VASP.

DOS(E_F), states/eV/cell: 3.22
Relative energy among the computed polymorphs, eV/f.u.: 0.00
Formation energy without anion corrections, eV/atom: -0.14
Uncorrected energy, eV/atom: -3.782
Total moment, μB/f.u.: 2.2

The structure in Quantum ESPRESSO input format:
```
&SYSTEM
  ibrav = 0, nat = 5, ntyp = 4
/
ATOMIC_SPECIES
Pt 195.08 Pt.upf
Se 78.96 Se.upf
O 16.00 O.upf
F 19.00 F.upf
ATOMIC_POSITIONS crystal
Pt 0.000 0.000 0.000
Se 0.500 0.500 0.500
O 0.000 0.000 0.500
F 0.000 0.500 0.000
F 0.500 0.000 0.000
CELL_PARAMETERS angstrom
4.493 0.000 0.000
0.000 4.493 0.000
0.000 0.000 3.819
```